No. 1
{
  "formula": "CsBi3F",
  "functional": "PBE",
  "state": "relaxed",
  "sg": "Pm-3m, No. 221",
  "crystal_system": "cubic",
  "e_above_lowest_polymorph_kcal_per_mol_atoms": 35.51,
  "lattice_angstrom": [[6.4271, 0.0000, 0.0000], [0.0000, 6.4271, 0.0000], [0.0000, 0.0000, 6.4271]],
  "species": ["Cs", "Bi", "Bi", "Bi", "F"],
  "frac_coords": [[0.0000, 0.0000, 0.0000], [0.0000, 0.0000, 0.5000], [0.0000, 0.5000, 0.0000], [0.5000, 0.0000, 0.0000], [0.5000, 0.5000, 0.5000]]
}


No. 2
{
  "formula": "Cs2BiF6",
  "functional": "PBE",
  "state": "relaxed",
  "sg": "Fm-3m, No. 225",
  "crystal_system": "cubic",
  "e_above_lowest_polymorph_kcal_per_mol_atoms": 0.42,
  "lattice_angstrom": [[0.0000, 4.7647, 4.7647], [4.7647, 0.0000, 4.7647], [4.7647, 4.7647, 0.0000]],
  "species": ["Cs", "Cs", "Bi", "F", "F", "F", "F", "F", "F"],
  "frac_coords": [[0.2500, 0.2500, 0.2500], [0.7500, 0.7500, 0.7500], [0.0000, 0.0000, 0.0000], [0.2270, 0.2270, 0.7730], [0.2270, 0.7730, 0.2270], [0.2270, 0.7730, 0.7730], [0.7730, 0.2270, 0.2270], [0.7730, 0.2270, 0.7730], [0.7730, 0.7730, 0.2270]]
}


No. 3
{
  "formula": "Cs3BiF7",
  "functional": "PBE",
  "state": "relaxed",
  "sg": "Cm, No. 8",
  "crystal_system": "monoclinic",
  "lattice_angstrom": [[4.9323, -4.7043, 0.0000], [4.9323, 4.7043, 0.0000], [-4.6595, 0.0000, 5.7720]],
  "species": ["Cs", "Cs", "Cs", "Bi", "F", "F", "F", "F", "F", "F", "F"],
  "frac_coords": [[0.0000, 0.0000, 0.0000], [0.2683, 0.7430, 0.5536], [0.7430, 0.2683, 0.5536], [0.5441, 0.5441, 0.1010], [0.2191, 0.5073, 0.8046], [0.3753, 0.3753, 0.2018], [0.3852, 0.8335, 0.2400], [0.5073, 0.2191, 0.8046], [0.6972, 0.6972, 0.9779], [0.8074, 0.8074, 0.4709], [0.8335, 0.3852, 0.2400]]
}


No. 4
{
  "formula": "Cs2BiF5",
  "functional": "PBE",
  "state": "relaxed",
  "sg": "I4mm, No. 107",
  "crystal_system": "tetragonal",
  "e_above_lowest_polymorph_kcal_per_mol_atoms": 1.88,
  "lattice_angstrom": [[7.0650, 0.0000, 0.0000], [0.0000, 7.0650, 0.0000], [0.0000, 0.0000, 8.3177]],
  "species": ["Cs", "Cs", "Cs", "Cs", "Bi", "Bi", "F", "F", "F", "F", "F", "F", "F", "F", "F", "F"],
  "frac_coords": [[0.0000, 0.5000, 0.0000], [0.0000, 0.5000, 0.5000], [0.5000, 0.0000, 0.0000], [0.5000, 0.0000, 0.5000], [0.0000, 0.0000, 0.2661], [0.5000, 0.5000, 0.7661], [0.0000, 0.0000, 0.0170], [0.2216, 0.2216, 0.2375], [0.2216, 0.7784, 0.2375], [0.2784, 0.2784, 0.7375], [0.2784, 0.7216, 0.7375], [0.5000, 0.5000, 0.5170], [0.7216, 0.2784, 0.7375], [0.7216, 0.7216, 0.7375], [0.7784, 0.2216, 0.2375], [0.7784, 0.7784, 0.2375]]
}


No. 5
{
  "formula": "CsBi2F",
  "functional": "PBE",
  "state": "relaxed",
  "sg": "Fm-3m, No. 225",
  "crystal_system": "cubic",
  "lattice_angstrom": [[7.9813, 0.0000, 0.0000], [0.0000, 7.9813, 0.0000], [0.0000, 0.0000, 7.9813]],
  "species": ["Cs", "Cs", "Cs", "Cs", "Bi", "Bi", "Bi", "Bi", "Bi", "Bi", "Bi", "Bi", "F", "F", "F", "F"],
  "frac_coords": [[0.0000, 0.0000, 0.0000], [0.0000, 0.5000, 0.5000], [0.5000, 0.0000, 0.5000], [0.5000, 0.5000, 0.0000], [0.2500, 0.2500, 0.2500], [0.2500, 0.2500, 0.7500], [0.2500, 0.7500, 0.2500], [0.2500, 0.7500, 0.7500], [0.7500, 0.2500, 0.2500], [0.7500, 0.2500, 0.7500], [0.7500, 0.7500, 0.2500], [0.7500, 0.7500, 0.7500], [0.0000, 0.0000, 0.5000], [0.0000, 0.5000, 0.0000], [0.5000, 0.0000, 0.0000], [0.5000, 0.5000, 0.5000]]
}


No. 6
{
  "formula": "Cs2BiF7",
  "functional": "PBE",
  "state": "relaxed",
  "sg": "Fm-3m, No. 225",
  "crystal_system": "cubic",
  "lattice_angstrom": [[0.0000, 4.8092, 4.8092], [4.8092, 0.0000, 4.8092], [4.8092, 4.8092, 0.0000]],
  "species": ["Cs", "Cs", "Bi", "F", "F", "F", "F", "F", "F", "F"],
  "frac_coords": [[0.2500, 0.2500, 0.2500], [0.7500, 0.7500, 0.7500], [0.0000, 0.0000, 0.0000], [0.2189, 0.2189, 0.7811], [0.2189, 0.7811, 0.2189], [0.2189, 0.7811, 0.7811], [0.5000, 0.5000, 0.5000], [0.7811, 0.2189, 0.2189], [0.7811, 0.2189, 0.7811], [0.7811, 0.7811, 0.2189]]
}


The DOS at the Fermi energy results, record by record, are as follows: 2.231; 0.347; 0.279; 0.000; 0.398; 0.875 states/eV per atom.
The energy relative to the elements, uncorrected results, record by record, are as follows: 1.17; -2.47; -2.52; -2.58; -0.04; -2.18 eV per atom.